First-principles (PBE) data for Ba2PmSb4Pd3 after structural relaxation, as listed in Alexandria.

Cell lengths 4.780, 4.780, 12.066 Å; angles 90.00, 90.00, 90.00 degrees
Fractional coordinates of all 10 atoms:
Ba (0.500, 0.000, 0.233)
Ba (0.000, 0.500, 0.767)
Pm (0.500, 0.500, 0.500)
Sb (0.500, 0.500, 0.000)
Sb (0.000, 0.000, 0.000)
Sb (0.500, 0.000, 0.655)
Sb (0.000, 0.500, 0.345)
Pd (0.000, 0.000, 0.500)
Pd (0.500, 0.000, 0.887)
Pd (0.000, 0.500, 0.113)

Calculated values
Symmetry: P-4m2, No. 115
Raw formation energy (kcal/mol of atoms): -19.7
Crystal system: tetragonal

=====

First-principles (PBE) data for Ba2PmSi3Pd12 after structural relaxation, as listed in Alexandria.

Cell lengths 7.127, 7.127, 7.127 Å; angles 82.09, 82.09, 82.09 degrees
Fractional coordinates of all 18 atoms:
Ba (0.616, 0.616, 0.616)
Ba (0.384, 0.384, 0.384)
Pm (0.000, 0.000, 0.000)
Si (0.500, 0.000, 0.000)
Si (0.000, 0.500, 0.000)
Si (0.000, 0.000, 0.500)
Pd (0.335, 0.335, 0.933)
Pd (0.830, 0.830, 0.338)
Pd (0.338, 0.830, 0.830)
Pd (0.933, 0.335, 0.335)
Pd (0.830, 0.338, 0.830)
Pd (0.335, 0.933, 0.335)
Pd (0.665, 0.665, 0.067)
Pd (0.170, 0.170, 0.662)
Pd (0.662, 0.170, 0.170)
Pd (0.067, 0.665, 0.665)
Pd (0.170, 0.662, 0.170)
Pd (0.665, 0.067, 0.665)

Calculated values
Symmetry: R-3m, No. 166
Raw formation energy (kcal/mol of atoms): -8.6
Crystal system: trigonal

=====

First-principles (PBE) data for Ba2PmSn3Pd4 after structural relaxation, as listed in Alexandria.

Cell lengths 4.772, 4.772, 11.418 Å; angles 90.00, 90.00, 90.00 degrees
Fractional coordinates of all 10 atoms:
Ba (0.500, 0.000, 0.232)
Ba (0.000, 0.500, 0.768)
Pm (0.500, 0.500, 0.500)
Sn (0.000, 0.000, 0.500)
Sn (0.500, 0.000, 0.885)
Sn (0.000, 0.500, 0.115)
Pd (0.500, 0.500, 0.000)
Pd (0.000, 0.000, 0.000)
Pd (0.500, 0.000, 0.645)
Pd (0.000, 0.500, 0.355)

Calculated values
Symmetry: P-4m2, No. 115
Formation energy from the elements (eV per atom): -0.746
Crystal system: tetragonal

=====

First-principles (PBE) data for BaPmSn2Pd5 after structural relaxation, as listed in Alexandria.

Cell lengths 4.770, 4.770, 8.910 Å; angles 90.00, 90.00, 90.00 degrees
Fractional coordinates of all 9 atoms:
Ba (0.000, 0.000, 0.500)
Pm (0.000, 0.000, 0.000)
Sn (0.500, 0.500, 0.158)
Sn (0.500, 0.500, 0.842)
Pd (0.000, 0.500, 0.271)
Pd (0.500, 0.000, 0.271)
Pd (0.000, 0.500, 0.729)
Pd (0.500, 0.000, 0.729)
Pd (0.500, 0.500, 0.500)

Calculated values
Symmetry: P4/mmm, No. 123
Formation energy from the elements (eV per atom): -0.529
Crystal system: tetragonal

=====

First-principles (PBE) data for BaPmZnPd after structural relaxation, as listed in Alexandria.

Cell lengths 5.373, 5.373, 5.373 Å; angles 60.00, 60.00, 60.00 degrees
Fractional coordinates of all 4 atoms:
Zn (0.000, 0.000, 0.000)
Ba (0.250, 0.250, 0.250)
Pd (0.500, 0.500, 0.500)
Pm (0.750, 0.750, 0.750)

Calculated values
Symmetry: F-43m, No. 216
Formation energy from the elements (eV per atom): -0.278
Crystal system: cubic

=====

First-principles (PBE) data for Ba2Pr2Pd15 after structural relaxation, as listed in Alexandria.

Cell lengths 7.276, 7.276, 7.276 Å; angles 82.12, 82.12, 82.12 degrees
Fractional coordinates of all 19 atoms:
Ba (0.360, 0.360, 0.360)
Ba (0.640, 0.640, 0.640)
Pr (0.111, 0.111, 0.111)
Pr (0.889, 0.889, 0.889)
Pd (0.500, 0.000, 0.000)
Pd (0.000, 0.000, 0.500)
Pd (0.000, 0.500, 0.000)
Pd (0.000, 0.703, 0.297)
Pd (0.703, 0.297, 0.000)
Pd (0.297, 0.000, 0.703)
Pd (0.297, 0.703, 0.000)
Pd (0.703, 0.000, 0.297)
Pd (0.000, 0.297, 0.703)
Pd (0.156, 0.653, 0.653)
Pd (0.653, 0.653, 0.156)
Pd (0.653, 0.156, 0.653)
Pd (0.844, 0.347, 0.347)
Pd (0.347, 0.347, 0.844)
Pd (0.347, 0.844, 0.347)

Calculated values
Symmetry: R-3m, No. 166
Formation energy from the elements (eV per atom): -0.446
Crystal system: trigonal

=====

Repeat the fourth record exactly.
First-principles (PBE) data for BaPmSn2Pd5 after structural relaxation, as listed in Alexandria.

Cell lengths 4.770, 4.770, 8.910 Å; angles 90.00, 90.00, 90.00 degrees
Fractional coordinates of all 9 atoms:
Ba (0.000, 0.000, 0.500)
Pm (0.000, 0.000, 0.000)
Sn (0.500, 0.500, 0.158)
Sn (0.500, 0.500, 0.842)
Pd (0.000, 0.500, 0.271)
Pd (0.500, 0.000, 0.271)
Pd (0.000, 0.500, 0.729)
Pd (0.500, 0.000, 0.729)
Pd (0.500, 0.500, 0.500)

Calculated values
Symmetry: P4/mmm, No. 123
Formation energy from the elements (eV per atom): -0.529
Crystal system: tetragonal